Material: YAgGeS3
Method: DFT, PBE
State: optimized geometry

abc: 6.6620 6.6620 10.3486
angles: 90.00 90.00 146.43
Positions (direct):
Y  0.0000  0.0000  0.0000
Y  0.0000  0.0000  0.5000
Ag  0.4548  0.5452  0.7500
Ag  0.5452  0.4548  0.2500
Ge  0.2618  0.7382  0.2500
Ge  0.7382  0.2618  0.7500
S  0.1003  0.8997  0.7500
S  0.3534  0.6466  0.5514
S  0.3534  0.6466  0.9486
S  0.6466  0.3534  0.0514
S  0.6466  0.3534  0.4486
S  0.8997  0.1003  0.2500

Computed properties:
**Final energy**: -62.1 eV per cell